Density functional theory data (PBE) for crystalline AlTcW2 at its relaxed geometry.

## Properties
formation energy: -5.3 kJ/mol of atoms
magnetic moment: 0.000 μB per atom

Unit cell a=5.1526 b=5.1526 c=4.4173 alpha=64.62 beta=64.62 gamma=35.73
Element x y z (fractional)
Tc  0.2538  0.2538  0.2462
W  0.9990  0.9990  0.0011
W  0.7431  0.7431  0.7568
Al  0.5041  0.5041  0.4960